Entry 1:
VASP calculation (GGA-PBE) on a relaxed Ca5ScAu6 crystal.

Lattice parameters (Å, degrees): 5.0521 7.2145 8.0580 90.00 108.01 90.00
Space group P2/m (No. 10)
Symmetry-distinct sites (fractional):
Ca (0.0000, 0.0000, 0.0000) x1
Ca (0.3304, 0.5000, 0.6613) x2
Ca (0.3331, 0.0000, 0.6663) x2
Sc (0.0000, 0.5000, 0.0000) x1
Au (0.1558, 0.2613, 0.3108) x4
Au (0.5000, 0.2775, 0.0000) x2

Properties
Raw total energy, eV/atom: -3.7754

---

Entry 2:
VASP calculation (GGA-PBE) on a relaxed ZrWBr2 crystal.

Lattice parameters (Å, degrees): 3.1912 3.1912 31.2692 90.00 90.00 120.00
Space group R-3m (No. 166, hexagonal axes)
Symmetry-distinct sites (fractional):
Zr (0.0000, 0.0000, 0.0000) x3
W (0.0000, 0.0000, 0.5000) x3
Br (0.0000, 0.0000, 0.2687) x6

Properties
ΔE_f (raw), eV per atom: 0.472
E above lowest polymorph, kJ/mol of formula units: 208

---

Ordered density of states at the Fermi level results: 8.17; 10.13; unit states/eV per cell.